No. 1
4
Lattice="4.8653 0.0000 0.0000 2.4327 4.2135 0.0000 2.4327 1.4045 3.9725" Properties=species:S:1:pos:R:3 comment="ErPaMoRh (GGA-PBE, relaxed)" formation_enthalpy_0k_ev_per_fu=-1.04 sg="F-43m (216)" crystal_system=cubic pbc="T T T"
Mo 0.0000 0.0000 0.0000
Pa 2.4327 1.4045 0.9931
Rh 4.8653 2.8090 1.9863
Er 7.2980 4.2135 2.9794


No. 2
4
Lattice="-2.5154 -3.5843 -2.0733 0.7142 -1.0743 -4.6700 2.2235 -4.1270 -1.2237" Properties=species:S:1:pos:R:3 comment="ErPaTcMo (GGA-PBE, relaxed)" formation_enthalpy_0k_ev_per_fu=0.07 sg="F-43m (216)" crystal_system=cubic pbc="T T T"
Mo 0.0000 0.0000 0.0000
Pa 0.3168 -6.5892 -5.9753
Tc 0.2112 -4.3928 -3.9836
Er 0.1056 -2.1964 -1.9918


No. 3
6
Lattice="5.5363 0.0000 0.0000 2.7682 4.7946 0.0000 2.7682 1.5982 4.5204" Properties=species:S:1:pos:R:3 comment="PmErMo4 (GGA-PBE, relaxed)" formation_enthalpy_0k_ev_per_fu=0.88 sg="F-43m (216)" crystal_system=cubic pbc="T T T"
Mo 5.5363 3.1964 0.5681
Mo 5.5363 1.6011 2.8242
Mo 6.9180 3.9941 2.8242
Mo 4.1547 3.9941 2.8242
Pm 2.7682 1.5982 1.1301
Er 0.0000 0.0000 0.0000